DFT (PBE) results for a relaxed structure of SrCd2Tc.

a b c (Å): 5.907 5.907 5.507
angles (deg): 70.62 70.62 31.02
Sites, in units of the cell vectors:
Tc 0.274 0.274 0.305
Cd 0.735 0.735 0.789
Cd 0.964 0.964 0.974
Sr 0.526 0.526 0.432

Calculated values
D(E_F) in states/eV/f.u.: 2.9
Volume in Å³ per cell: 93
Calculated total energy in eV per cell: -12.01
E above lowest polymorph in meV/atom: 128